w:
Density functional theory data (PBE) for a relaxed Nd3Ho4Th crystal.

CIF file:
```
data_Nd3Ho4Th
_space_group_name_H-M_alt 'P m n 21'
_space_group_IT_number 31
_cell_length_a 11.602
_cell_length_b 7.249
_cell_length_c 6.290
_cell_angle_alpha 90.00
_cell_angle_beta 90.00
_cell_angle_gamma 90.00
loop_
_space_group_symop_operation_xyz
'x,y,z'
'-x+1/2,-y,z+1/2'
'-x,y,z'
'x+1/2,-y,z+1/2'
loop_
_atom_site_label
_atom_site_type_symbol
_atom_site_fract_x
_atom_site_fract_y
_atom_site_fract_z
Nd1 Nd 0.000 0.122 0.000
Nd2 Nd 0.248 0.124 0.333
Ho1 Ho 0.000 0.378 0.504
Ho2 Ho 0.000 0.627 0.007
Ho3 Ho 0.248 0.624 0.343
Th1 Th 0.000 0.870 0.509
```

=====

x:
Density functional theory data (PBE) for a relaxed Nd3Ho4Th crystal.

CIF file:
```
data_Nd3Ho4Th
_space_group_name_H-M_alt 'P 1 2/m 1'
_space_group_IT_number 10
_cell_length_a 6.235
_cell_length_b 3.602
_cell_length_c 11.783
_cell_angle_alpha 90.00
_cell_angle_beta 100.25
_cell_angle_gamma 90.00
loop_
_space_group_symop_operation_xyz
'x,y,z'
'-x,-y,-z'
'-x,y,-z'
'x,-y,z'
loop_
_atom_site_label
_atom_site_type_symbol
_atom_site_fract_x
_atom_site_fract_y
_atom_site_fract_z
Nd1 Nd 0.000 0.000 0.000
Nd2 Nd 0.000 0.500 0.500
Nd3 Nd 0.500 0.000 0.500
Ho1 Ho 0.254 0.500 0.248
Ho2 Ho 0.256 0.000 0.755
Th1 Th 0.500 0.500 0.000
```

=====

Last place for stability: w

=====

w:
Density functional theory data (PBE) for a relaxed NdHo2Th2 crystal.

CIF file:
```
data_NdHo2Th2
_space_group_name_H-M_alt 'R -3 m'
_space_group_IT_number 166
_space_group_name_Hall '-R 3 2"'
_cell_length_a 3.5848
_cell_length_b 3.5848
_cell_length_c 43.5771
_cell_angle_alpha 90.00
_cell_angle_beta 90.00
_cell_angle_gamma 120.00
loop_
_atom_site_label
_atom_site_type_symbol
_atom_site_fract_x
_atom_site_fract_y
_atom_site_fract_z
Nd1 Nd 0.0000 0.0000 0.0000
Ho1 Ho 0.0000 0.0000 0.4014
Th1 Th 0.0000 0.0000 0.1991
```

=====

x:
Density functional theory data (PBE) for a relaxed NdHo2Th2 crystal.

CIF file:
```
data_NdHo2Th2
_space_group_name_H-M_alt 'P -3 m 1'
_space_group_IT_number 164
_space_group_name_Hall '-P 3 2"'
_cell_length_a 3.5721
_cell_length_b 3.5721
_cell_length_c 14.6476
_cell_angle_alpha 90.00
_cell_angle_beta 90.00
_cell_angle_gamma 120.00
loop_
_atom_site_label
_atom_site_type_symbol
_atom_site_fract_x
_atom_site_fract_y
_atom_site_fract_z
Nd1 Nd 0.0000 0.0000 0.0000
Ho1 Ho 0.3333 0.6667 0.7993
Th1 Th 0.3333 0.6667 0.4011
```

=====

Last place for stability: x